Entry from Alexandria via LeMat-Bulk: an optimized crystal structure of AcLaGaRh (PBE).

CIF file:
```
data_AcLaGaRh
_cell_length_a 4.0499
_cell_length_b 4.5717
_cell_length_c 11.7759
_cell_angle_alpha 90.00
_cell_angle_beta 90.00
_cell_angle_gamma 90.00
_space_group_name_H-M_alt 'A m m 2'
_space_group_IT_number 38
loop_
_space_group_symop_operation_xyz
'x,y,z'
'-x,-y,z'
'-x,y,z'
'x,-y,z'
'x,y+1/2,z+1/2'
'-x,-y+1/2,z+1/2'
'-x,y+1/2,z+1/2'
'x,-y+1/2,z+1/2'
loop_
_atom_site_label
_atom_site_fract_x
_atom_site_fract_y
_atom_site_fract_z
Ac1 0.0000 0.0000 0.0000
La1 0.5000 0.0000 0.2827
Ga1 0.5000 0.0000 0.5934
Rh1 0.0000 0.0000 0.7366
```

Computed properties:
* spin magnetization: 0.000 μB per cell
* energy relative to the lowest polymorph listed for this composition: 0.000 eV per atom
* formation enthalpy at 0 K: -618.0 meV/atom
* crystal system: orthorhombic